Density functional theory data (PBE with a Hubbard U) for a geometry-optimized Rb2FeSiF6 structure.

Space group: I4/mmm, No. 139
Total DFT energy (no corrections): -47.166 eV per cell
Size of the total moment: 4.0 μB per formula unit
Density of states at the Fermi level: 0.0 states/eV per cell

abc: 6.1038 6.1038 6.1033
angles: 60.00 60.00 90.00
With the nearest neighbours (Å) after each atom.
Atoms (fractional coordinates):
Si (0.5000, 0.5000, 0.0000)  6 F 2.16-2.22
Fe (0.0000, 0.0000, 0.0000)  6 F 2.10-2.16
Rb (0.7500, 0.2500, 0.5000)  12 F 3.05
Rb (0.2500, 0.7500, 0.5000)  12 F 3.05
F (0.2499, 0.2499, 0.5001)  1 Fe 2.16, 1 Si 2.16
F (0.7501, 0.7501, 0.4999)  1 Fe 2.16, 1 Si 2.16
F (0.2431, 0.2431, 0.0000)  1 Fe 2.10, 1 Si 2.22
F (0.7569, 0.7569, 0.0000)  1 Fe 2.10, 1 Si 2.22
F (0.7569, 0.2431, 0.0000)  1 Fe 2.10, 1 Si 2.22
F (0.2431, 0.7569, 0.0000)  1 Fe 2.10, 1 Si 2.22